# 1
Compound: CdFeBRh2
Source: the Alexandria database
Functional: PBE
Structure: relaxed

a = 4.1480 Å, b = 4.1480 Å, c = 4.0009 Å
α = 90.00°, β = 90.00°, γ = 90.00°
Closest atoms and distances in Å follow each position.
Space group P4/mmm (No. 123)
Symmetry-distinct sites (fractional):
Cd 0.0000 0.0000 0.0000 [1 per cell]  8 Rh 2.88, 4 Fe 2.93
Fe 0.5000 0.5000 0.0000 [1 per cell]  2 B 2.00
B 0.5000 0.5000 0.5000 [1 per cell]  2 Fe 2.00, 4 Rh 2.07
Rh 0.0000 0.5000 0.5000 [2 per cell]  2 B 2.07


# 2
Compound: CdFeBRh2
Source: the Alexandria database
Functional: PBE
Structure: relaxed

a = 4.9372 Å, b = 4.9372 Å, c = 3.9676 Å
α = 90.00°, β = 90.00°, γ = 90.00°
Closest atoms and distances in Å follow each position.
Space group P4/mmm (No. 123)
Symmetry-distinct sites (fractional):
Cd 0.0000 0.0000 0.0000 [1 per cell]  2 B 1.98
Fe 0.5000 0.5000 0.5000 [1 per cell]  8 Rh 3.17, 4 B 3.49
B 0.0000 0.0000 0.5000 [1 per cell]  2 Cd 1.98
Rh 0.0000 0.5000 0.0000 [2 per cell]  2 Cd 2.47


Calculated formation energy / kJ/mol of formula units: -59, 918